Below is a geometry-optimized KHf3Re structure, with properties calculated at the PBE-GGA level.

Structure (extended XYZ):
```
5
Lattice="-4.286 2.101 -2.038 0.921 -2.463 -4.474 -2.778 -4.056 1.661" Properties=species:S:1:pos:R:3 pbc="T T T"
Hf -2.143 1.050 -1.019
Hf 0.460 -1.232 -2.237
Hf -1.389 -2.028 0.831
K -3.072 -2.209 -2.426
Re 0.000 0.000 0.000
```

Summary:
DFT formation energy = 3.57 eV/f.u.
excess energy over the best structure of this formula in the dataset = 0 meV/atom

Below is a geometry-optimized Tb3SmAg2 structure, with properties calculated at the PBE-GGA level.

Structure (extended XYZ):
```
6
Lattice="-2.628 -0.372 -2.497 2.522 -0.545 -2.573 -0.377 -12.168 2.208" Properties=species:S:1:pos:R:3 pbc="T T T"
Ag -0.109 -2.268 -2.207
Ag -0.374 -10.817 -0.655
Sm -0.241 -6.542 -1.431
Tb -0.111 -3.596 0.652
Tb 0.000 0.000 0.000
Tb -0.266 -8.572 1.555
```

Summary:
DFT formation energy = -1.16 eV/f.u.

Below is a geometry-optimized ScTc2 structure, with properties calculated at the PBE-GGA level.

Structure (extended XYZ):
```
6
Lattice="3.412 4.871 -4.092 -6.327 -3.326 1.013 -0.880 2.276 1.975" Properties=species:S:1:pos:R:3 pbc="T T T"
Sc -6.092 -0.865 2.025
Sc 2.297 4.686 -3.129
Tc -4.014 -0.625 0.179
Tc -2.954 1.775 0.380
Tc -0.841 2.046 -1.484
Tc 0.220 4.447 -1.283
```

Summary:
DFT formation energy = -0.26 eV/f.u.
excess energy over the best structure of this formula in the dataset = 218 meV/atom

Below is a geometry-optimized NaAg5Br7 structure, with properties calculated at the PBE-GGA level.

Structure (extended XYZ):
```
26
Lattice="4.162 0.000 0.000 -2.081 6.872 0.008 0.000 -0.025 23.819" Properties=species:S:1:pos:R:3 pbc="T T T"
Ag 0.000 -0.010 11.910
Ag 2.081 0.719 3.578
Ag 0.000 -0.019 23.819
Ag 2.081 2.964 22.097
Ag 0.000 3.894 1.729
Ag 2.081 0.718 8.331
Ag 0.000 3.887 10.187
Ag 0.000 6.137 20.250
Ag 2.081 2.967 13.641
Ag 0.000 6.135 15.496
Br 0.000 6.263 5.961
Br 0.000 4.914 23.008
Br 2.081 4.218 16.009
Br 0.000 1.043 21.311
Br 0.000 2.637 4.094
Br 2.081 5.814 2.514
Br 0.000 2.635 7.818
Br 0.000 1.045 14.419
Br 2.081 5.808 9.409
Br 2.081 4.218 19.732
Br 2.081 1.934 11.095
Br 2.081 0.591 17.866
Br 2.081 1.945 0.818
Br 0.000 4.920 12.733
Na 2.081 4.154 5.956
Na 0.000 2.700 17.872
```

Summary:
energy relative to the elements, uncorrected = -6.43 eV per formula unit

Below is a geometry-optimized CdRhCl2 structure, with properties calculated at the PBE-GGA level.

Structure (extended XYZ):
```
4
Lattice="-3.845 2.858 -0.322 -2.673 0.875 3.891 0.066 4.351 2.030" Properties=species:S:1:pos:R:3 pbc="T T T"
Rh -4.839 6.063 4.199
Cl 0.000 0.000 0.000
Cl -1.613 2.021 1.400
Cd -3.226 4.042 2.799
```

Summary:
energy relative to the elements, uncorrected = 1.39 eV per formula unit
excess energy over the best structure of this formula in the dataset = 710 meV/atom

Below is a geometry-optimized Nd3Ga2Si3 structure, with properties calculated at the PBE-GGA level.

Structure (extended XYZ):
```
16
Lattice="4.223 0.000 0.000 -2.112 5.575 0.000 0.000 0.000 14.850" Properties=species:S:1:pos:R:3 pbc="T T T"
Si 2.112 1.533 11.137
Si 2.112 1.289 0.579
Si 0.000 4.042 3.712
Si 2.112 1.289 6.845
Si 0.000 4.286 8.004
Si 0.000 4.286 14.270
Ga 0.000 2.478 1.514
Ga 0.000 2.478 5.911
Ga 2.112 3.097 13.335
Ga 2.112 3.097 8.939
Nd 0.000 0.723 9.107
Nd 0.000 0.723 13.168
Nd 0.000 3.935 11.137
Nd 2.112 4.851 5.743
Nd 2.112 1.640 3.712
Nd 2.112 4.851 1.682
```

Summary:
energy relative to the elements, uncorrected = -4.69 eV per formula unit
excess energy over the best structure of this formula in the dataset = 61 meV/atom